1.
# AcTl2F8 (PBE-GGA, relaxed)
# space group = No. 2
# formation energy without anion corrections = -2.53 eV/atom
# crystal system = triclinic
data_AcTl2F8
_cell_length_a 4.521
_cell_length_b 7.452
_cell_length_c 7.477
_cell_angle_alpha 60.35
_cell_angle_beta 89.64
_cell_angle_gamma 89.79
_space_group_name_H-M_alt 'P 1'
_space_group_IT_number 1
loop_
_space_group_symop_operation_xyz
'x,y,z'
loop_
_atom_site_label
_atom_site_fract_x
_atom_site_fract_y
_atom_site_fract_z
Ac1 0.000 0.000 0.000
Tl1 0.286 0.333 0.334
Tl2 0.714 0.667 0.666
F1 0.216 0.667 0.666
F2 0.268 0.165 0.676
F3 0.271 0.677 0.157
F4 0.273 0.157 0.165
F5 0.727 0.843 0.835
F6 0.729 0.323 0.843
F7 0.732 0.835 0.324
F8 0.784 0.333 0.334

---

2.
# Ac2TlF7 (PBE-GGA, relaxed)
# space group = No. 139
# formation energy without anion corrections = -3.63 eV/atom
# crystal system = tetragonal
data_Ac2TlF7
_cell_length_a 9.441
_cell_length_b 9.441
_cell_length_c 9.441
_cell_angle_alpha 152.40
_cell_angle_beta 152.40
_cell_angle_gamma 39.43
_space_group_name_H-M_alt 'P 1'
_space_group_IT_number 1
loop_
_space_group_symop_operation_xyz
'x,y,z'
loop_
_atom_site_label
_atom_site_fract_x
_atom_site_fract_y
_atom_site_fract_z
Ac1 0.152 0.152 0.000
Ac2 0.848 0.848 0.000
Tl1 0.500 0.500 0.000
F1 0.000 0.000 0.000
F2 0.102 0.602 0.500
F3 0.250 0.750 0.500
F4 0.398 0.898 0.500
F5 0.602 0.102 0.500
F6 0.750 0.250 0.500
F7 0.898 0.398 0.500

---

3.
# AcTl2F11 (PBE-GGA, relaxed)
# space group = No. 72
# formation energy without anion corrections = -2.19 eV/atom
# crystal system = orthorhombic
data_AcTl2F11
_cell_length_a 9.142
_cell_length_b 9.142
_cell_length_c 9.142
_cell_angle_alpha 122.40
_cell_angle_beta 106.34
_cell_angle_gamma 100.53
_space_group_name_H-M_alt 'P 1'
_space_group_IT_number 1
loop_
_space_group_symop_operation_xyz
'x,y,z'
loop_
_atom_site_label
_atom_site_fract_x
_atom_site_fract_y
_atom_site_fract_z
Ac1 0.250 0.250 0.000
Ac2 0.750 0.750 0.000
Tl1 0.234 0.730 0.965
Tl2 0.266 0.230 0.496
Tl3 0.734 0.770 0.504
Tl4 0.766 0.270 0.035
F1 0.000 0.500 0.500
F2 0.014 0.314 0.074
F3 0.022 0.010 0.289
F4 0.155 0.473 0.628
F5 0.222 0.510 0.988
F6 0.239 0.940 0.926
F7 0.261 0.186 0.701
F8 0.278 0.267 0.289
F9 0.345 0.973 0.317
F10 0.478 0.767 0.988
F11 0.486 0.560 0.299
F12 0.500 0.000 0.500
F13 0.514 0.440 0.701
F14 0.522 0.233 0.012
F15 0.655 0.027 0.683
F16 0.722 0.733 0.711
F17 0.739 0.814 0.299
F18 0.761 0.060 0.074
F19 0.778 0.490 0.012
F20 0.845 0.527 0.372
F21 0.978 0.990 0.711
F22 0.986 0.686 0.926